[1]
First-principles (PBE) data for LiMn2Pd4 after structural relaxation, as listed in the Alexandria database.

a b c (Å): 4.0468 5.2444 5.2444
angles (deg): 94.75 90.00 90.00
Last column: magnetic moment on the atom in μB.
Element x y z (fractional)
Pd: 0.0000 0.2877 0.2877  0.21
Pd: 0.5000 0.5000 0.0000  0.22
Pd: 0.0000 0.7123 0.7123  0.21
Pd: 0.5000 0.0000 0.5000  0.22
Mn: 0.0000 0.7919 0.2081  3.98
Mn: 0.0000 0.2081 0.7919  3.98
Li: 0.5000 0.5000 0.5000  -0.03

As for the formation energy: -0.86 eV per formula unit.

***

[2]
First-principles (PBE) data for LiMn3Pd12 after structural relaxation, as listed in the Alexandria database.

a b c (Å): 3.9255 3.9255 15.5887
angles (deg): 90.00 90.00 90.00
Last column: magnetic moment on the atom in μB.
Element x y z (fractional)
Pd: 0.5000 0.5000 0.5000  0.18
Pd: 0.5000 0.0000 0.3742  0.17
Pd: 0.5000 0.5000 0.0000  0.07
Pd: 0.0000 0.5000 0.6258  0.17
Pd: 0.5000 0.0000 0.1239  0.13
Pd: 0.0000 0.5000 0.3742  0.17
Pd: 0.5000 0.5000 0.7516  0.16
Pd: 0.5000 0.0000 0.6258  0.17
Pd: 0.5000 0.0000 0.8761  0.13
Pd: 0.0000 0.5000 0.1239  0.13
Pd: 0.5000 0.5000 0.2484  0.16
Pd: 0.0000 0.5000 0.8761  0.13
Mn: 0.0000 0.0000 0.5000  3.90
Mn: 0.0000 0.0000 0.2490  3.89
Mn: 0.0000 0.0000 0.7510  3.89
Li: 0.0000 0.0000 0.0000  0.01

As for the formation energy: -3.66 eV per formula unit.

***

[3]
First-principles (PBE) data for LiMnTlPd after structural relaxation, as listed in the Alexandria database.

a b c (Å): 4.5637 4.5637 4.5637
angles (deg): 60.00 60.00 60.00
Last column: magnetic moment on the atom in μB.
Element x y z (fractional)
Li: 0.0000 0.0000 0.0000  -0.01
Tl: 0.7500 0.7500 0.7500  -0.07
Pd: 0.5000 0.5000 0.5000  0.09
Mn: 0.2500 0.2500 0.2500  3.92

As for the formation energy: -0.46 eV per formula unit.

***

[4]
First-principles (PBE) data for Li2MnVPd after structural relaxation, as listed in the Alexandria database.

a b c (Å): 4.4373 4.5525 4.4373
angles (deg): 90.00 90.00 90.00
Last column: magnetic moment on the atom in μB.
Element x y z (fractional)
Li: 0.5000 0.0000 0.0000  0.11
Li: 0.0000 0.0000 0.5000  0.07
Pd: 0.0000 0.5000 0.0000  -0.04
V: 0.0000 0.0000 0.0000  2.38
Mn: 0.5000 0.5000 0.5000  0.69

As for the formation energy: 7.12 eV per formula unit.

***

[5]
First-principles (PBE) data for LiPmPrMn after structural relaxation, as listed in the Alexandria database.

a b c (Å): 5.2183 5.2183 5.2183
angles (deg): 60.00 60.00 60.00
Last column: magnetic moment on the atom in μB.
Element x y z (fractional)
Li: 0.7500 0.7500 0.7500  -0.05
Pm: 0.5000 0.5000 0.5000  -0.25
Pr: 0.0000 0.0000 0.0000  -0.22
Mn: 0.2500 0.2500 0.2500  3.46

As for the formation energy: 0.68 eV per formula unit.

***

[6]
First-principles (PBE) data for Li3Pm3MnS8 after structural relaxation, as listed in the Alexandria database.

a b c (Å): 7.8655 7.8651 7.6233
angles (deg): 121.07 90.00 120.00
Last column: magnetic moment on the atom in μB.
Element x y z (fractional)
Li: 0.0000 0.5000 0.0000  0.00
Li: 0.0000 0.0000 0.0000  0.00
Li: 0.5000 0.5000 0.0000  0.00
Mn: 0.0000 0.0000 0.5000  3.05
S: 0.2109 0.9884 0.2661  -0.03
S: 0.2225 0.4450 0.7340  -0.03
S: 0.7529 0.5058 0.7585  0.01
S: 0.7775 0.9884 0.2661  -0.03
S: 0.2471 0.4942 0.2415  0.01
S: 0.7775 0.5550 0.2660  -0.03
S: 0.2225 0.0116 0.7339  -0.03
S: 0.7891 0.0116 0.7339  -0.03
Pm: 0.5000 0.0000 0.5000  0.01
Pm: 0.5000 0.5000 0.5000  0.01
Pm: 0.0000 0.5000 0.5000  0.01

The value obtained for the formation energy without anion corrections is -1.4916 eV/atom.

***

[7]
First-principles (PBE) data for Li3Pm2MnS6 after structural relaxation, as listed in the Alexandria database.

a b c (Å): 6.7301 6.7301 6.4987
angles (deg): 99.51 99.51 120.22
Last column: magnetic moment on the atom in μB.
Element x y z (fractional)
Pm: 0.3302 0.6698 0.0000  0.01
Pm: 0.6698 0.3302 0.0000  0.01
Li: 0.8456 0.1544 0.5000  0.01
Li: 0.5000 0.5000 0.5000  0.00
Li: 0.1544 0.8456 0.5000  0.01
S: 0.9139 0.6073 0.7446  0.00
S: 0.2175 0.2175 0.7671  -0.03
S: 0.0861 0.3927 0.2554  0.00
S: 0.3927 0.0861 0.2554  0.00
S: 0.7825 0.7825 0.2329  -0.03
S: 0.6073 0.9139 0.7446  0.00
Mn: 0.0000 0.0000 0.0000  3.73

The value obtained for the formation energy without anion corrections is -1.4334 eV/atom.

***

[8]
First-principles (PBE) data for LiPmMnS3 after structural relaxation, as listed in the Alexandria database.

a b c (Å): 3.7659 6.7581 8.5327
angles (deg): 110.57 90.00 90.00
Last column: magnetic moment on the atom in μB.
Element x y z (fractional)
Pm: 0.2500 0.2464 0.2591  -0.04
Pm: 0.7500 0.7536 0.7409  -0.04
Li: 0.7500 0.8805 0.3886  0.00
Li: 0.2500 0.1195 0.6114  0.00
S: 0.7500 0.4685 0.1418  -0.03
S: 0.2500 0.7304 0.4722  0.00
S: 0.2500 0.1014 0.8799  -0.01
S: 0.2500 0.5315 0.8582  -0.03
S: 0.7500 0.2696 0.5278  0.00
S: 0.7500 0.8986 0.1201  -0.01
Mn: 0.7500 0.3387 0.8616  1.24
Mn: 0.2500 0.6613 0.1384  1.24

The value obtained for the formation energy without anion corrections is -1.1686 eV/atom.

***

| no. | magnetization (μB/cell) |
| --- | --- |
| 1 | 9.1 |
| 2 | 13.8 |
| 3 | 4.0 |
| 4 | 3.4 |
| 5 | 2.7 |
| 6 | 3.0 |
| 7 | 4.0 |
| 8 | 2.3 |